Here is a PBEsol-optimized structure of LaFe2Ag from Alexandria via LeMat-Bulk. Energies are from meta-GGA SCAN.

Cell and atoms, written as POSCAR:
```
LaFe2Ag
1.0
3.325 0.000 -0.568
0.000 3.371 0.000
-2.291 0.000 6.850
Fe La Ag
2 1 1
direct
0.318 0.000 0.320
0.682 0.000 0.680
0.500 0.500 0.000
0.000 0.500 0.500
```

Summary:
DOS(E_F): 0.82 states/eV per atom
energy relative to the elements: 0.392 eV/atom
electronic total energy: -27.291 eV per atom

Here is a PBEsol-optimized structure of Li2FeAg from Alexandria via LeMat-Bulk. Energies are from meta-GGA SCAN.

Cell and atoms, written as POSCAR:
```
Li2FeAg
1.0
2.591 0.010 0.000
-0.395 4.840 0.000
-1.098 -2.425 4.508
Ag Li Fe
1 2 1
direct
0.000 0.500 0.000
0.500 0.500 0.500
0.000 0.000 0.500
0.500 0.000 0.000
```

Summary:
DOS(E_F): 0.58 states/eV per atom
energy relative to the elements: 0.161 eV/atom
electronic total energy: -13.408 eV per atom

Look up the DOS(E_F) of the first one.
0.82 states/eV per atom

Which value of electronic total energy does entry 2 give?
-13.408 eV per atom

Which of these has the lowest energy relative to the elements?
Li2FeAg